# 1
Here is a geometry-optimized Pm8Sm6Mg structure from Alexandria. Energies are from PBE-GGA.

The calculated total energy comes out at -4.40 eV per atom. The density of states at the Fermi level comes out at 1.31 states/eV per atom. The formation energy is 124 meV per atom. Its total magnetization is 0.000 μB/atom.

The space group is P-3 (No. 147) and the conventional cell measures 9.4786, 9.4786 and 6.5345 Å, with angles of 90.00, 90.00 and 120.00 degrees. Symmetry generates all atoms from Pm at (0.0380, 0.2709, 0.1793), Pm at (0.3333, 0.6667, 0.1388), Sm at (0.0918, 0.4454, 0.6705) and Mg at (0.0000, 0.0000, 0.5000).


# 2
Here is a geometry-optimized NpPbI6 structure from Alexandria. Energies are from PBE-GGA.

The calculated total energy comes out at -3.93 eV per atom. The density of states at the Fermi level comes out at 0.60 states/eV per atom. The formation energy from raw total energies is -66.4 kJ/mol of atoms. As for the excess energy over the best structure of this formula in the dataset: 0.010 eV per atom. Its total magnetization is 0.375 μB/atom.

The space group is R-3 (No. 148, hexagonal axes) and the conventional cell measures 7.7385, 7.7385 and 21.1619 Å, with angles of 90.00, 90.00 and 120.00 degrees. Symmetry generates all atoms from Np at (0.0000, 0.0000, 0.0000), Pb at (0.0000, 0.0000, 0.5000) and I at (0.0064, 0.6529, 0.5859).


# 3
Here is a geometry-optimized Zr3AsO structure from Alexandria. Energies are from PBE-GGA.

The calculated total energy comes out at -8.18 eV per atom. The density of states at the Fermi level comes out at 1.54 states/eV per atom. The formation energy from raw total energies is -108.9 kJ/mol of atoms. As for the excess energy over the best structure of this formula in the dataset: 0.097 eV per atom. Its total magnetization is 0.000 μB/atom.

The space group is Pm-3m (No. 221) and the conventional cell measures 4.428, 4.428 and 4.428 Å, with angles of 90.00, 90.00 and 90.00 degrees. Symmetry generates all atoms from Zr at (0.000, 0.000, 0.500), As at (0.500, 0.500, 0.500) and O at (0.000, 0.000, 0.000).


# 4
Here is a geometry-optimized Cs2Tl6GaSn structure from Alexandria. Energies are from PBE-GGA.

The calculated total energy comes out at -2.32 eV per atom. The density of states at the Fermi level comes out at 0.54 states/eV per atom. The formation energy is -29 meV per atom. Its total magnetization is 0.000 μB/atom.

The space group is R-3m (No. 166, hexagonal axes) and the conventional cell measures 7.8795, 7.8795 and 42.5167 Å, with angles of 90.00, 90.00 and 120.00 degrees. Symmetry generates all atoms from Cs at (0.0000, 0.0000, 0.1037), Cs at (0.0000, 0.0000, 0.2759), Tl at (0.0441, 0.5221, 0.8633), Tl at (0.0575, 0.5287, 0.3065), Ga at (0.0000, 0.0000, 0.0000), Ga at (0.0000, 0.0000, 0.5000) and Sn at (0.0000, 0.0000, 0.4247).


# 5
Here is a geometry-optimized Rb3Sm2HfSe6 structure from Alexandria. Energies are from PBE-GGA.

The calculated total energy comes out at -5.15 eV per atom. The density of states at the Fermi level comes out at 0.36 states/eV per atom. The formation energy from raw total energies is -149.7 kJ/mol of atoms. Its total magnetization is 0.000 μB/atom.

The space group is C2/m (No. 12) and the conventional cell measures 7.244, 12.548 and 8.387 Å, with angles of 90.00, 106.80 and 90.00 degrees. Symmetry generates all atoms from Rb at (0.000, 0.000, 0.000), Rb at (0.000, 0.328, 0.000), Sm at (0.000, 0.166, 0.500), Hf at (0.000, 0.500, 0.500), Se at (0.221, 0.344, 0.696) and Se at (0.245, 0.500, 0.302).


# 6
Here is a geometry-optimized Ba3P structure from Alexandria. Energies are from PBE-GGA.

The calculated total energy comes out at -3.31 eV per atom. The density of states at the Fermi level comes out at 0.96 states/eV per atom. The formation energy is -514 meV per atom. As for the excess energy over the best structure of this formula in the dataset: 0.069 eV per atom. Its total magnetization is 0.000 μB/atom.

The space group is Pmmn (No. 59, origin choice 2) and the conventional cell measures 4.331, 8.540 and 11.597 Å, with angles of 90.00, 90.00 and 90.00 degrees. Symmetry generates all atoms from Ba at (0.250, 0.019, 0.184), Ba at (0.250, 0.250, 0.492) and P at (0.250, 0.750, 0.710).


# 7
Here is a geometry-optimized BaRe2Ag structure from Alexandria. Energies are from PBE-GGA.

The calculated total energy comes out at -6.06 eV per atom. The density of states at the Fermi level comes out at 0.92 states/eV per atom. The formation energy is 1355 meV per atom. As for the excess energy over the best structure of this formula in the dataset: 0.824 eV per atom. Its total magnetization is 0.000 μB/atom.

The space group is F-43m (No. 216) and the conventional cell measures 6.871, 6.871 and 6.871 Å, with angles of 90.00, 90.00 and 90.00 degrees. Symmetry generates all atoms from Ba at (0.000, 0.000, 0.000), Re at (0.000, 0.000, 0.500), Re at (0.250, 0.250, 0.750) and Ag at (0.250, 0.250, 0.250).


# 8
Here is a geometry-optimized HoTiAlCd structure from Alexandria. Energies are from PBE-GGA.

The calculated total energy comes out at -4.42 eV per atom. The density of states at the Fermi level comes out at 0.65 states/eV per atom. The formation energy is -140 meV per atom. Its total magnetization is 0.002 μB/atom.

The space group is F-43m (No. 216) and the conventional cell measures 6.935, 6.935 and 6.935 Å, with angles of 90.00, 90.00 and 90.00 degrees. Symmetry generates all atoms from Ho at (0.000, 0.000, 0.000), Ti at (0.000, 0.000, 0.500), Al at (0.250, 0.250, 0.750) and Cd at (0.250, 0.250, 0.250).


# 9
Here is a geometry-optimized BaHfTi2 structure from Alexandria. Energies are from PBE-GGA.

The calculated total energy comes out at -5.74 eV per atom. The density of states at the Fermi level comes out at 2.01 states/eV per atom. The formation energy is 1174 meV per atom. As for the excess energy over the best structure of this formula in the dataset: 0.380 eV per atom. Its total magnetization is 0.000 μB/atom.

The space group is I4_1/amd (No. 141, origin choice 2) and the conventional cell measures 5.001, 5.001 and 20.223 Å, with angles of 90.00, 90.00 and 90.00 degrees. Symmetry generates all atoms from Ba at (0.000, 0.250, 0.375), Hf at (0.000, 0.250, 0.875) and Ti at (0.000, 0.000, 0.000).


# 10
Here is a geometry-optimized TiFeRh3 structure from Alexandria. Energies are from PBE-GGA.

The calculated total energy comes out at -6.99 eV per atom. The density of states at the Fermi level comes out at 0.75 states/eV per atom. The formation energy is 696 meV per atom. As for the excess energy over the best structure of this formula in the dataset: 0.636 eV per atom. Its total magnetization is 0.829 μB/atom.

The space group is Pm-3m (No. 221) and the conventional cell measures 4.433, 4.433 and 4.433 Å, with angles of 90.00, 90.00 and 90.00 degrees. Symmetry generates all atoms from Ti at (0.000, 0.000, 0.000), Fe at (0.500, 0.500, 0.500) and Rh at (0.000, 0.500, 0.500).


# 11
Here is a geometry-optimized LiPrAl2Pd4 structure from Alexandria. Energies are from PBE-GGA.

The calculated total energy comes out at -5.18 eV per atom. The density of states at the Fermi level comes out at 0.52 states/eV per atom. The formation energy is -810 meV per atom. Its total magnetization is 0.000 μB/atom.

The space group is R-3m (No. 166, hexagonal axes) and the conventional cell measures 4.2974, 4.2974 and 25.8857 Å, with angles of 90.00, 90.00 and 120.00 degrees. Symmetry generates all atoms from Li at (0.0000, 0.0000, 0.0000), Pr at (0.0000, 0.0000, 0.5000), Al at (0.0000, 0.0000, 0.2665), Pd at (0.0000, 0.0000, 0.0952) and Pd at (0.0000, 0.0000, 0.3684).